Computed, not measured: a geometry-optimized SrEuCu2 structure at the PBE level of DFT.

Values from the calculation:
Energy above the most stable polymorph in this dataset, eV/f.u.: 0.075
Energy, eV per cell: -80.729
ΔH_f (0 K), eV per atom: -0.0084

Cell: 7.4166 7.4166 7.4166 Å, 90.00 90.00 90.00°
Closest atoms and distances in Å follow each position.
Element x y z (fractional)
Sr: 0.0000 0.0000 0.0000  8 Cu 3.21
Sr: 0.0000 0.5000 0.5000  8 Cu 3.21
Sr: 0.5000 0.0000 0.5000  8 Cu 3.21
Sr: 0.5000 0.5000 0.0000  8 Cu 3.21
Eu: 0.0000 0.0000 0.5000  8 Cu 3.21
Eu: 0.0000 0.5000 0.0000  8 Cu 3.21
Eu: 0.5000 0.0000 0.0000  8 Cu 3.21
Eu: 0.5000 0.5000 0.5000  8 Cu 3.21
Cu: 0.2500 0.2500 0.2500  4 Sr 3.21, 4 Eu 3.21
Cu: 0.2500 0.2500 0.7500  4 Sr 3.21, 4 Eu 3.21
Cu: 0.2500 0.7500 0.2500  4 Sr 3.21, 4 Eu 3.21
Cu: 0.2500 0.7500 0.7500  4 Sr 3.21, 4 Eu 3.21
Cu: 0.7500 0.2500 0.2500  4 Sr 3.21, 4 Eu 3.21
Cu: 0.7500 0.2500 0.7500  4 Sr 3.21, 4 Eu 3.21
Cu: 0.7500 0.7500 0.2500  4 Sr 3.21, 4 Eu 3.21
Cu: 0.7500 0.7500 0.7500  4 Sr 3.21, 4 Eu 3.21



Computed, not measured: a geometry-optimized SrEuTlCu structure at the PBE level of DFT.

Values from the calculation:
Energy, eV per cell: -76.218
ΔH_f (0 K), eV per atom: -0.1589

Cell: 7.7989 7.7989 7.7989 Å, 90.00 90.00 90.00°
Closest atoms and distances in Å follow each position.
Element x y z (fractional)
Sr: 0.0000 0.0000 0.0000  4 Tl 3.38, 4 Cu 3.38
Sr: 0.0000 0.5000 0.5000  4 Tl 3.38, 4 Cu 3.38
Sr: 0.5000 0.0000 0.5000  4 Tl 3.38, 4 Cu 3.38
Sr: 0.5000 0.5000 0.0000  4 Tl 3.38, 4 Cu 3.38
Eu: 0.0000 0.0000 0.5000  4 Cu 3.38, 4 Tl 3.38
Eu: 0.0000 0.5000 0.0000  4 Cu 3.38, 4 Tl 3.38
Eu: 0.5000 0.0000 0.0000  4 Cu 3.38, 4 Tl 3.38
Eu: 0.5000 0.5000 0.5000  4 Tl 3.38, 4 Cu 3.38
Tl: 0.2500 0.2500 0.2500  4 Sr 3.38, 4 Eu 3.38
Tl: 0.2500 0.7500 0.7500  4 Sr 3.38, 4 Eu 3.38
Tl: 0.7500 0.2500 0.7500  4 Sr 3.38, 4 Eu 3.38
Tl: 0.7500 0.7500 0.2500  4 Sr 3.38, 4 Eu 3.38
Cu: 0.2500 0.2500 0.7500  4 Sr 3.38, 4 Eu 3.38
Cu: 0.2500 0.7500 0.2500  4 Sr 3.38, 4 Eu 3.38
Cu: 0.7500 0.2500 0.2500  4 Sr 3.38, 4 Eu 3.38
Cu: 0.7500 0.7500 0.7500  4 Sr 3.38, 4 Eu 3.38



Computed, not measured: a geometry-optimized TbEuCu4 structure at the PBE level of DFT.

Values from the calculation:
Energy, eV per cell: -31.847
ΔH_f (0 K), eV per atom: -0.0930

Cell: 5.3191 5.3191 5.3191 Å, 60.00 60.00 60.00°
Closest atoms and distances in Å follow each position.
Element x y z (fractional)
Tb: 0.0000 0.0000 0.0000  12 Cu 3.12, 4 Eu 3.26
Eu: 0.7500 0.7500 0.7500  12 Cu 3.12, 4 Tb 3.26
Cu: 0.3745 0.3745 0.3745  6 Cu 2.65-2.67
Cu: 0.3745 0.3745 0.8765  6 Cu 2.65-2.67
Cu: 0.3745 0.8765 0.3745  6 Cu 2.65-2.67
Cu: 0.8765 0.3745 0.3745  6 Cu 2.65-2.67



Computed, not measured: a geometry-optimized Tb2EuCu structure at the PBE level of DFT.

Values from the calculation:
Energy above the most stable polymorph in this dataset, eV/f.u.: 0.456
Energy, eV per cell: -70.089
ΔH_f (0 K), eV per atom: 0.0670

Cell: 3.7079 3.7079 30.4107 Å, 90.00 90.00 120.00°
Closest atoms and distances in Å follow each position.
Element x y z (fractional)
Tb: 0.0000 0.0000 0.2298  3 Cu 2.88
Tb: 0.0000 0.0000 0.7702  3 Cu 2.88
Tb: 0.3333 0.6667 0.4369  3 Cu 2.88
Tb: 0.3333 0.6667 0.8964  3 Cu 2.88
Tb: 0.6667 0.3333 0.1036  3 Cu 2.88
Tb: 0.6667 0.3333 0.5631  3 Cu 2.88
Eu: 0.0000 0.0000 0.0000  6 Eu 3.71, 6 Tb 3.81
Eu: 0.3333 0.6667 0.6667  6 Eu 3.71, 6 Tb 3.81
Eu: 0.6667 0.3333 0.3333  6 Eu 3.71, 6 Tb 3.81
Cu: 0.0000 0.0000 0.5000  6 Tb 2.88
Cu: 0.3333 0.6667 0.1667  6 Tb 2.88
Cu: 0.6667 0.3333 0.8333  6 Tb 2.88



Computed, not measured: a geometry-optimized Tb2EuCu structure at the PBE level of DFT.

Values from the calculation:
Energy above the most stable polymorph in this dataset, eV/f.u.: 0.000
Energy, eV per cell: -23.819
ΔH_f (0 K), eV per atom: -0.0470

Cell: 3.5535 3.5535 9.0579 Å, 90.00 90.00 90.00°
Closest atoms and distances in Å follow each position.
Element x y z (fractional)
Tb: 0.0000 0.0000 0.1837  4 Cu 3.01, 1 Tb 3.33
Tb: 0.0000 0.0000 0.8163  4 Cu 3.01, 1 Tb 3.33
Eu: 0.5000 0.5000 0.5000  4 Eu 3.55, 8 Tb 3.81
Cu: 0.5000 0.5000 0.0000  8 Tb 3.01



Computed, not measured: a geometry-optimized TbEuCu2 structure at the PBE level of DFT.

Values from the calculation:
Energy above the most stable polymorph in this dataset, eV/f.u.: 0.000
Energy, eV per cell: -23.750
ΔH_f (0 K), eV per atom: -0.1634

Cell: 3.5671 3.5671 7.1276 Å, 90.00 90.00 90.00°
Closest atoms and distances in Å follow each position.
Element x y z (fractional)
Tb: 0.0000 0.0000 0.0000  8 Cu 2.94
Eu: 0.0000 0.0000 0.5000  8 Cu 3.25, 2 Tb 3.56, 4 Eu 3.57
Cu: 0.5000 0.5000 0.2118  4 Tb 2.94, 1 Cu 3.02, 4 Eu 3.25
Cu: 0.5000 0.5000 0.7882  4 Tb 2.94, 1 Cu 3.02, 4 Eu 3.25



Computed, not measured: a geometry-optimized TbEuCu2 structure at the PBE level of DFT.

Values from the calculation:
Energy above the most stable polymorph in this dataset, eV/f.u.: 0.168
Energy, eV per cell: -94.330
ΔH_f (0 K), eV per atom: -0.1214

Cell: 7.0899 7.0899 7.0899 Å, 90.00 90.00 90.00°
Closest atoms and distances in Å follow each position.
Element x y z (fractional)
Tb: 0.0000 0.0000 0.0000  8 Cu 3.07
Tb: 0.0000 0.5000 0.5000  8 Cu 3.07
Tb: 0.5000 0.0000 0.5000  8 Cu 3.07
Tb: 0.5000 0.5000 0.0000  8 Cu 3.07
Eu: 0.0000 0.0000 0.5000  8 Cu 3.07
Eu: 0.0000 0.5000 0.0000  8 Cu 3.07
Eu: 0.5000 0.0000 0.0000  8 Cu 3.07
Eu: 0.5000 0.5000 0.5000  8 Cu 3.07
Cu: 0.2500 0.2500 0.2500  4 Eu 3.07, 4 Tb 3.07
Cu: 0.2500 0.2500 0.7500  4 Tb 3.07, 4 Eu 3.07
Cu: 0.2500 0.7500 0.2500  4 Tb 3.07, 4 Eu 3.07
Cu: 0.2500 0.7500 0.7500  4 Tb 3.07, 4 Eu 3.07
Cu: 0.7500 0.2500 0.2500  4 Tb 3.07, 4 Eu 3.07
Cu: 0.7500 0.2500 0.7500  4 Tb 3.07, 4 Eu 3.07
Cu: 0.7500 0.7500 0.2500  4 Tb 3.07, 4 Eu 3.07
Cu: 0.7500 0.7500 0.7500  4 Tb 3.07, 4 Eu 3.07



Computed, not measured: a geometry-optimized TbEuTlCu structure at the PBE level of DFT.

Values from the calculation:
Energy, eV per cell: -88.638
ΔH_f (0 K), eV per atom: -0.1981

Cell: 7.4894 7.4894 7.4894 Å, 90.00 90.00 90.00°
Closest atoms and distances in Å follow each position.
Element x y z (fractional)
Tb: 0.0000 0.0000 0.0000  4 Tl 3.24, 4 Cu 3.24
Tb: 0.0000 0.5000 0.5000  4 Tl 3.24, 4 Cu 3.24
Tb: 0.5000 0.0000 0.5000  4 Tl 3.24, 4 Cu 3.24
Tb: 0.5000 0.5000 0.0000  4 Tl 3.24, 4 Cu 3.24
Eu: 0.0000 0.0000 0.5000  4 Tl 3.24, 4 Cu 3.24
Eu: 0.0000 0.5000 0.0000  4 Tl 3.24, 4 Cu 3.24
Eu: 0.5000 0.0000 0.0000  4 Tl 3.24, 4 Cu 3.24
Eu: 0.5000 0.5000 0.5000  4 Tl 3.24, 4 Cu 3.24
Tl: 0.2500 0.2500 0.7500  4 Tb 3.24, 4 Eu 3.24
Tl: 0.2500 0.7500 0.2500  4 Tb 3.24, 4 Eu 3.24
Tl: 0.7500 0.2500 0.2500  4 Tb 3.24, 4 Eu 3.24
Tl: 0.7500 0.7500 0.7500  4 Tb 3.24, 4 Eu 3.24
Cu: 0.2500 0.2500 0.2500  4 Tb 3.24, 4 Eu 3.24
Cu: 0.2500 0.7500 0.7500  4 Tb 3.24, 4 Eu 3.24
Cu: 0.7500 0.2500 0.7500  4 Tb 3.24, 4 Eu 3.24
Cu: 0.7500 0.7500 0.2500  4 Tb 3.24, 4 Eu 3.24



Computed, not measured: a geometry-optimized TbEuZnCu structure at the PBE level of DFT.

Values from the calculation:
Energy, eV per cell: -84.148
ΔH_f (0 K), eV per atom: -0.1905

Cell: 7.2115 7.2115 7.2115 Å, 90.00 90.00 90.00°
Closest atoms and distances in Å follow each position.
Element x y z (fractional)
Tb: 0.0000 0.0000 0.0000  4 Cu 3.12, 4 Zn 3.12
Tb: 0.0000 0.5000 0.5000  4 Cu 3.12, 4 Zn 3.12
Tb: 0.5000 0.0000 0.5000  4 Cu 3.12, 4 Zn 3.12
Tb: 0.5000 0.5000 0.0000  4 Cu 3.12, 4 Zn 3.12
Eu: 0.0000 0.0000 0.5000  4 Cu 3.12, 4 Zn 3.12
Eu: 0.0000 0.5000 0.0000  4 Cu 3.12, 4 Zn 3.12
Eu: 0.5000 0.0000 0.0000  4 Cu 3.12, 4 Zn 3.12
Eu: 0.5000 0.5000 0.5000  4 Cu 3.12, 4 Zn 3.12
Zn: 0.2500 0.2500 0.7500  4 Tb 3.12, 4 Eu 3.12
Zn: 0.2500 0.7500 0.2500  4 Tb 3.12, 4 Eu 3.12
Zn: 0.7500 0.2500 0.2500  4 Tb 3.12, 4 Eu 3.12
Zn: 0.7500 0.7500 0.7500  4 Tb 3.12, 4 Eu 3.12
Cu: 0.2500 0.2500 0.2500  4 Tb 3.12, 4 Eu 3.12
Cu: 0.2500 0.7500 0.7500  4 Eu 3.12, 4 Tb 3.12
Cu: 0.7500 0.2500 0.7500  4 Eu 3.12, 4 Tb 3.12
Cu: 0.7500 0.7500 0.2500  4 Eu 3.12, 4 Tb 3.12



Computed, not measured: a geometry-optimized Eu3Cu5Te12 structure at the PBE level of DFT.

Values from the calculation:
Formation energy (no corrections), meV/atom: -364.5
Energy, eV per cell: -385.175

Cell: 14.5622 14.5622 14.5622 Å, 109.47 109.47 109.47°
Closest atoms and distances in Å follow each position.
Element x y z (fractional)
Eu: 0.1250 0.2500 0.3750  8 Te 3.27-3.29
Eu: 0.1250 0.3750 0.7500  8 Te 3.27-3.29
Eu: 0.2500 0.3750 0.1250  8 Te 3.27-3.29
Eu: 0.2500 0.8750 0.6250  8 Te 3.27-3.29
Eu: 0.3750 0.1250 0.2500  8 Te 3.27-3.29
Eu: 0.3750 0.7500 0.1250  8 Te 3.27-3.29
Eu: 0.6250 0.2500 0.8750  8 Te 3.27-3.29
Eu: 0.6250 0.8750 0.7500  8 Te 3.27-3.29
Eu: 0.7500 0.1250 0.3750  8 Te 3.27-3.29
Eu: 0.7500 0.6250 0.8750  8 Te 3.27-3.29
Eu: 0.8750 0.6250 0.2500  8 Te 3.27-3.29
Eu: 0.8750 0.7500 0.6250  8 Te 3.27-3.29
Cu: 0.0000 0.0000 0.0000  6 Te 2.69
Cu: 0.0000 0.0000 0.5000  6 Te 2.69
Cu: 0.0000 0.5000 0.0000  6 Te 2.69
Cu: 0.0000 0.5000 0.5000  6 Te 2.69
Cu: 0.1250 0.7500 0.8750  4 Te 2.56
Cu: 0.1250 0.8750 0.2500  4 Te 2.56
Cu: 0.2500 0.1250 0.8750  4 Te 2.56
Cu: 0.2500 0.6250 0.3750  4 Te 2.56
Cu: 0.3750 0.2500 0.6250  4 Te 2.56
Cu: 0.3750 0.6250 0.7500  4 Te 2.56
Cu: 0.5000 0.0000 0.0000  6 Te 2.69
Cu: 0.5000 0.0000 0.5000  6 Te 2.69
Cu: 0.5000 0.5000 0.0000  6 Te 2.69
Cu: 0.5000 0.5000 0.5000  6 Te 2.69
Cu: 0.6250 0.3750 0.2500  4 Te 2.56
Cu: 0.6250 0.7500 0.3750  4 Te 2.56
Cu: 0.7500 0.3750 0.6250  4 Te 2.56
Cu: 0.7500 0.8750 0.1250  4 Te 2.56
Cu: 0.8750 0.1250 0.7500  4 Te 2.56
Cu: 0.8750 0.2500 0.1250  4 Te 2.56
Te: 0.0287 0.2044 0.1173  2 Cu 2.56-2.69
Te: 0.0287 0.3243 0.9114  2 Cu 2.56-2.69
Te: 0.0871 0.7044 0.6757  2 Cu 2.56-2.69
Te: 0.0871 0.8827 0.4114  2 Cu 2.56-2.69
Te: 0.0886 0.6173 0.4129  2 Cu 2.56-2.69
Te: 0.0886 0.9713 0.6757  2 Cu 2.56-2.69
Te: 0.1173 0.0287 0.2044  2 Cu 2.56-2.69
Te: 0.1173 0.5886 0.9129  2 Cu 2.56-2.69
Te: 0.1757 0.2044 0.5871  2 Cu 2.56-2.69
Te: 0.1757 0.4713 0.5886  2 Cu 2.56-2.69
Te: 0.2044 0.1173 0.0287  2 Cu 2.56-2.69
Te: 0.2044 0.5871 0.1757  2 Cu 2.56-2.69
Te: 0.2956 0.3243 0.9129  2 Cu 2.56-2.69
Te: 0.2956 0.4713 0.3827  2 Cu 2.56-2.69
Te: 0.3243 0.9114 0.0287  2 Cu 2.56-2.69
Te: 0.3243 0.9129 0.2956  2 Cu 2.56-2.69
Te: 0.3827 0.2956 0.4713  2 Cu 2.56-2.69
Te: 0.3827 0.5871 0.9114  2 Cu 2.56-2.69
Te: 0.4114 0.0871 0.8827  2 Cu 2.56-2.69
Te: 0.4114 0.8243 0.5287  2 Cu 2.56-2.69
Te: 0.4129 0.0886 0.6173  2 Cu 2.56-2.69
Te: 0.4129 0.8243 0.7956  2 Cu 2.56-2.69
Te: 0.4713 0.3827 0.2956  2 Cu 2.56-2.69
Te: 0.4713 0.5886 0.1757  2 Cu 2.56-2.69
Te: 0.5287 0.4114 0.8243  2 Cu 2.56-2.69
Te: 0.5287 0.6173 0.7044  2 Cu 2.56-2.69
Te: 0.5871 0.1757 0.2044  2 Cu 2.56-2.69
Te: 0.5871 0.9114 0.3827  2 Cu 2.56-2.69
Te: 0.5886 0.1757 0.4713  2 Cu 2.56-2.69
Te: 0.5886 0.9129 0.1173  2 Cu 2.56-2.69
Te: 0.6173 0.4129 0.0886  2 Cu 2.56-2.69
Te: 0.6173 0.7044 0.5287  2 Cu 2.56-2.69
Te: 0.6757 0.0871 0.7044  2 Cu 2.56-2.69
Te: 0.6757 0.0886 0.9713  2 Cu 2.56-2.69
Te: 0.7044 0.5287 0.6173  2 Cu 2.56-2.69
Te: 0.7044 0.6757 0.0871  2 Cu 2.56-2.69
Te: 0.7956 0.4129 0.8243  2 Cu 2.56-2.69
Te: 0.7956 0.8827 0.9713  2 Cu 2.56-2.69
Te: 0.8243 0.5287 0.4114  2 Cu 2.56-2.69
Te: 0.8243 0.7956 0.4129  2 Cu 2.56-2.69
Te: 0.8827 0.4114 0.0871  2 Cu 2.56-2.69
Te: 0.8827 0.9713 0.7956  2 Cu 2.56-2.69
Te: 0.9114 0.0287 0.3243  2 Cu 2.56-2.69
Te: 0.9114 0.3827 0.5871  2 Cu 2.56-2.69
Te: 0.9129 0.1173 0.5886  2 Cu 2.56-2.69
Te: 0.9129 0.2956 0.3243  2 Cu 2.56-2.69
Te: 0.9713 0.6757 0.0886  2 Cu 2.56-2.69
Te: 0.9713 0.7956 0.8827  2 Cu 2.56-2.69



Computed, not measured: a geometry-optimized Eu2ThCu structure at the PBE level of DFT.

Values from the calculation:
Energy above the most stable polymorph in this dataset, eV/f.u.: 0.878
Energy, eV per cell: -92.543
ΔH_f (0 K), eV per atom: 0.3043

Cell: 3.5504 3.5504 34.1525 Å, 90.00 90.00 120.00°
Closest atoms and distances in Å follow each position.
Element x y z (fractional)
Eu: 0.0000 0.0000 0.1031  3 Cu 2.99
Eu: 0.0000 0.0000 0.8969  3 Cu 2.99
Eu: 0.3333 0.6667 0.5636  3 Cu 2.99
Eu: 0.3333 0.6667 0.7697  3 Cu 2.99
Eu: 0.6667 0.3333 0.2303  3 Cu 2.99
Eu: 0.6667 0.3333 0.4364  3 Cu 2.99
Th: 0.0000 0.0000 0.0000  2 Eu 3.52, 6 Th 3.55
Th: 0.3333 0.6667 0.6667  2 Eu 3.52, 6 Th 3.55
Th: 0.6667 0.3333 0.3333  2 Eu 3.52, 6 Th 3.55
Cu: 0.0000 0.0000 0.5000  6 Eu 2.99
Cu: 0.3333 0.6667 0.1667  6 Eu 2.99
Cu: 0.6667 0.3333 0.8333  6 Eu 2.99



Computed, not measured: a geometry-optimized Eu2ThCu structure at the PBE level of DFT.

Values from the calculation:
Energy above the most stable polymorph in this dataset, eV/f.u.: 0.000
Energy, eV per cell: -31.726
ΔH_f (0 K), eV per atom: 0.0848

Cell: 3.5833 3.5833 9.2202 Å, 90.00 90.00 90.00°
Closest atoms and distances in Å follow each position.
Element x y z (fractional)
Eu: 0.0000 0.0000 0.1985  4 Cu 3.13
Eu: 0.0000 0.0000 0.8015  4 Cu 3.13
Th: 0.5000 0.5000 0.5000  4 Th 3.58, 8 Eu 3.76
Cu: 0.5000 0.5000 0.0000  8 Eu 3.13



Computed, not measured: a geometry-optimized EuThCu structure at the PBE level of DFT.

Values from the calculation:
Energy, eV per cell: -43.347
ΔH_f (0 K), eV per atom: 0.0390

Cell: 3.6010 3.6010 12.9150 Å, 90.00 90.00 90.00°
Closest atoms and distances in Å follow each position.
Element x y z (fractional)
Eu: 0.0000 0.0000 0.0000  4 Cu 3.23, 1 Th 3.57, 4 Eu 3.60
Eu: 0.5000 0.5000 0.5000  4 Cu 3.23, 1 Th 3.57, 4 Eu 3.60
Th: 0.0000 0.0000 0.2766  4 Cu 3.00
Th: 0.5000 0.5000 0.7766  4 Cu 3.00
Cu: 0.0000 0.0000 0.6542  4 Th 3.00, 4 Eu 3.23
Cu: 0.5000 0.5000 0.1542  4 Th 3.00, 4 Eu 3.23